Compound: FeSb3Pd
Source: Alexandria
Functional: PBE-GGA
Structure: optimized geometry

Cell and atoms, written as POSCAR:
```
FeSb3Pd
1.0
5.195 0.000 0.000
0.000 5.195 0.000
0.000 0.000 5.195
Sb Pd Fe
3 1 1
Cartesian
2.598 0.000 0.000
0.000 0.000 2.598
0.000 2.598 0.000
0.000 0.000 0.000
2.598 2.598 2.598
```

Results
- SG = Pm-3m (221)
- final energy (eV per atom) = -4.377
- DOS(E_F) (states/eV per cell) = 7.50